# TcPt2 | the Alexandria database | SCAN | PBEsol geometry
# Energy of formation ... -244 meV/atom
# Relative energy among the computed polymorphs ... 0 meV/atom
# Crystal system ... tetragonal
data_TcPt2
_chemical_formula_sum 'Tc2 Pt4'
_cell_length_a 2.7191
_cell_length_b 2.7191
_cell_length_c 11.7924
_cell_angle_alpha 90.00
_cell_angle_beta 90.00
_cell_angle_gamma 90.00
_symmetry_space_group_name_H-M 'I 4/m m m'
_symmetry_Int_Tables_number 139
_symmetry_space_group_name_Hall '-I 4 2'
loop_
_atom_site_label
_atom_site_fract_x
_atom_site_fract_y
_atom_site_fract_z
Tc1 0.0000 0.0000 0.0000
Pt1 0.0000 0.0000 0.3408


# Tc5Pt | the Alexandria database | SCAN | PBEsol geometry
# Energy of formation ... -191 meV/atom
# Relative energy among the computed polymorphs ... 0 meV/atom
# Crystal system ... hexagonal
data_Tc5Pt
_chemical_formula_sum 'Tc5 Pt1'
_cell_length_a 4.7427
_cell_length_b 4.7427
_cell_length_c 4.3162
_cell_angle_alpha 90.00
_cell_angle_beta 90.00
_cell_angle_gamma 120.00
_symmetry_space_group_name_H-M 'P -6 2 m'
_symmetry_Int_Tables_number 189
_symmetry_space_group_name_Hall 'P -6 -2'
loop_
_atom_site_label
_atom_site_fract_x
_atom_site_fract_y
_atom_site_fract_z
Tc1 0.0000 0.3362 0.0000
Tc2 0.3333 0.6667 0.5000
Pt1 0.0000 0.0000 0.5000


# Tc3Pt | the Alexandria database | SCAN | PBEsol geometry
# Energy of formation ... -320 meV/atom
# Relative energy among the computed polymorphs ... 0 meV/atom
# Crystal system ... orthorhombic
data_Tc3Pt
_chemical_formula_sum 'Tc6 Pt2'
_cell_length_a 4.3348
_cell_length_b 5.4737
_cell_length_c 4.7355
_cell_angle_alpha 90.00
_cell_angle_beta 90.00
_cell_angle_gamma 90.00
_symmetry_space_group_name_H-M 'P m m n'
_symmetry_Int_Tables_number 59
loop_
_symmetry_equiv_pos_as_xyz
'x,y,z'
'-x,-y,-z'
'-x+1/2,-y+1/2,z'
'x+1/2,y+1/2,-z'
'x+1/2,-y,-z'
'-x+1/2,y,z'
'-x,y+1/2,-z'
'x,-y+1/2,z'
loop_
_atom_site_label
_atom_site_fract_x
_atom_site_fract_y
_atom_site_fract_z
Tc1 0.2500 0.0046 0.1638
Tc2 0.2500 0.7500 0.6796
Pt1 0.2500 0.2500 0.6666


# Tc5Pt | the Alexandria database | SCAN | PBEsol geometry
# Energy of formation ... -150 meV/atom
# Relative energy among the computed polymorphs ... 41 meV/atom
# Crystal system ... monoclinic
data_Tc5Pt
_chemical_formula_sum 'Tc10 Pt2'
_cell_length_a 9.8774
_cell_length_b 2.7216
_cell_length_c 6.4450
_cell_angle_alpha 90.00
_cell_angle_beta 103.75
_cell_angle_gamma 90.00
_symmetry_space_group_name_H-M 'C 1 m 1'
_symmetry_Int_Tables_number 8
_symmetry_space_group_name_Hall 'C -2y'
loop_
_atom_site_label
_atom_site_fract_x
_atom_site_fract_y
_atom_site_fract_z
Tc1 0.0000 0.0000 0.0000
Tc2 0.0544 0.0000 0.6223
Tc3 0.2235 0.5000 0.9493
Tc4 0.3348 0.0000 0.6765
Tc5 0.3897 0.0000 0.2826
Pt1 0.1670 0.5000 0.3399


# TcPt | the Alexandria database | SCAN | PBEsol geometry
# Energy of formation ... -196 meV/atom
# Relative energy among the computed polymorphs ... 31 meV/atom
# Crystal system ... trigonal
data_TcPt
_chemical_formula_sum 'Tc2 Pt2'
_cell_length_a 2.7431
_cell_length_b 2.7431
_cell_length_c 8.8568
_cell_angle_alpha 90.00
_cell_angle_beta 90.00
_cell_angle_gamma 120.00
_symmetry_space_group_name_H-M 'P -3 m 1'
_symmetry_Int_Tables_number 164
_symmetry_space_group_name_Hall '-P 3 2"'
loop_
_atom_site_label
_atom_site_fract_x
_atom_site_fract_y
_atom_site_fract_z
Tc1 0.3333 0.6667 0.3851
Pt1 0.3333 0.6667 0.8647


# Tc3Pt2 | the Alexandria database | SCAN | PBEsol geometry
# Energy of formation ... 481 meV/atom
# Crystal system ... trigonal
data_Tc3Pt2
_chemical_formula_sum 'Tc3 Pt2'
_cell_length_a 4.1866
_cell_length_b 4.1866
_cell_length_c 5.3986
_cell_angle_alpha 90.00
_cell_angle_beta 90.00
_cell_angle_gamma 120.00
_symmetry_space_group_name_H-M 'P -3 m 1'
_symmetry_Int_Tables_number 164
_symmetry_space_group_name_Hall '-P 3 2"'
loop_
_atom_site_label
_atom_site_fract_x
_atom_site_fract_y
_atom_site_fract_z
Tc1 0.0000 0.0000 0.0000
Tc2 0.3333 0.6667 0.4014
Pt1 0.3333 0.6667 0.8710